# 1
VASP calculation (PBE) on a relaxed structure of Sm4TeCSe2.

Its crystal system is tetragonal. As for the raw formation energy: -1.22 eV/atom.

The structure belongs to space group I-4m2 (No. 119); the cell edges are 5.8864, 5.8864 and 11.9303 Å and the angles 90.00°, 90.00° and 90.00°. Symmetry generates all atoms from Sm at (0.0000, 0.0000, 0.2068), Sm at (0.0000, 0.5000, 0.5067), Te at (0.0000, 0.5000, 0.2500), C at (0.0000, 0.0000, 0.0000), Se at (0.0000, 0.0000, 0.5000) and Se at (0.0000, 0.5000, 0.7500).

---

# 2
VASP calculation (PBE) on a relaxed structure of SmUCSe2.

Its crystal system is tetragonal. As for the raw formation energy: -1.09 eV/atom.

The structure belongs to space group P4/nmm (No. 129, origin choice 2); the cell edges are 3.9444, 3.9444 and 14.8028 Å and the angles 90.00°, 90.00° and 90.00°. Symmetry generates all atoms from Sm at (0.2500, 0.2500, 0.1287), U at (0.2500, 0.2500, 0.5784), C at (0.2500, 0.7500, 0.5000), Se at (0.2500, 0.2500, 0.3189) and Se at (0.2500, 0.2500, 0.9126).

---

# 3
VASP calculation (PBE) on a relaxed structure of SmYCSe.

Its crystal system is trigonal. As for the raw formation energy: -1.07 eV/atom.

The structure belongs to space group R3m (No. 160, hexagonal axes); the cell edges are 3.7850, 3.7850 and 20.4831 Å and the angles 90.00°, 90.00° and 120.00°. Symmetry generates all atoms from Sm at (0.0000, 0.0000, 0.0000), Y at (0.0000, 0.0000, 0.1994), C at (0.0000, 0.0000, 0.5986) and Se at (0.0000, 0.0000, 0.7704).

---

# 4
VASP calculation (PBE) on a relaxed structure of SnCSe2.

Its crystal system is trigonal. For the offset from the most stable computed form, the calculation gives 0.000 eV/atom. As for the raw formation energy: 0.76 eV/atom.

The structure belongs to space group R-3m (No. 166, hexagonal axes); the cell edges are 3.8690, 3.8690 and 24.0890 Å and the angles 90.00°, 90.00° and 120.00°. Symmetry generates all atoms from Sn at (0.0000, 0.0000, 0.0000), C at (0.0000, 0.0000, 0.5000) and Se at (0.0000, 0.0000, 0.4277).

---

# 5
VASP calculation (PBE) on a relaxed structure of SnCSe2.

Its crystal system is cubic. For the offset from the most stable computed form, the calculation gives 0.714 eV/atom. As for the raw formation energy: 1.48 eV/atom.

The structure belongs to space group Fm-3m (No. 225); the cell edges are 6.7612, 6.7612 and 6.7612 Å and the angles 90.00°, 90.00° and 90.00°. Symmetry generates all atoms from Sn at (0.0000, 0.0000, 0.0000), C at (0.0000, 0.0000, 0.5000) and Se at (0.2500, 0.2500, 0.2500).

---

# 6
VASP calculation (PBE) on a relaxed structure of SnC2Se.

Its crystal system is tetragonal. For the offset from the most stable computed form, the calculation gives 0.000 eV/atom. As for the raw formation energy: 1.55 eV/atom.

The structure belongs to space group I-42d (No. 122); the cell edges are 4.8770, 4.8770 and 10.9375 Å and the angles 90.00°, 90.00° and 90.00°. Symmetry generates all atoms from Sn at (0.0000, 0.0000, 0.0000), C at (0.2389, 0.2500, 0.6250) and Se at (0.0000, 0.0000, 0.5000).

---

# 7
VASP calculation (PBE) on a relaxed structure of Sn3CSe.

Its crystal system is cubic. For the offset from the most stable computed form, the calculation gives 0.000 eV/atom. As for the raw formation energy: 0.75 eV/atom.

The structure belongs to space group Pm-3m (No. 221); the cell edges are 4.8846, 4.8846 and 4.8846 Å and the angles 90.00°, 90.00° and 90.00°. Symmetry generates all atoms from Sn at (0.0000, 0.0000, 0.5000), C at (0.0000, 0.0000, 0.0000) and Se at (0.5000, 0.5000, 0.5000).

---

# 8
VASP calculation (PBE) on a relaxed structure of SnC2Se.

Its crystal system is cubic. For the offset from the most stable computed form, the calculation gives 0.809 eV/atom. As for the raw formation energy: 2.36 eV/atom.

The structure belongs to space group Fm-3m (No. 225); the cell edges are 6.0470, 6.0470 and 6.0470 Å and the angles 90.00°, 90.00° and 90.00°. Symmetry generates all atoms from Sn at (0.0000, 0.0000, 0.0000), C at (0.2500, 0.2500, 0.2500) and Se at (0.0000, 0.0000, 0.5000).